Hf2Nb4Ge3C3 | GGA-PBE | optimized geometry

Total DFT energy (no corrections), Ry/atom: -0.6690
Crystal system: monoclinic
Total magnetic moment, Bohr magnetons per cell: 0.00

Unit cell a=5.6046 b=5.6046 c=13.5956 alpha=101.92 beta=101.92 gamma=60.06
Fractional positions:
C  0.6653  0.1694  0.0000
C  0.0000  0.5000  0.0000
C  0.3347  0.8306  0.0000
C  0.1694  0.6653  0.5000
C  0.5000  0.0000  0.5000
C  0.8306  0.3347  0.5000
Ge  0.4160  0.2305  0.2497
Ge  0.0619  0.9381  0.2500
Ge  0.7695  0.5840  0.2503
Ge  0.2305  0.4160  0.7497
Ge  0.9381  0.0619  0.7500
Ge  0.5840  0.7695  0.7503
Hf  0.3670  0.5328  0.0976
Hf  0.4672  0.6330  0.4024
Hf  0.5328  0.3670  0.5976
Hf  0.6330  0.4672  0.9024
Nb  0.6966  0.8621  0.0897
Nb  0.0287  0.1980  0.0898
Nb  0.8020  0.9713  0.4102
Nb  0.1379  0.3034  0.4103
Nb  0.8621  0.6966  0.5897
Nb  0.1980  0.0287  0.5898
Nb  0.9713  0.8020  0.9102
Nb  0.3034  0.1379  0.9103